# La2PmScSb4, relaxed, DFT PBE
data_La2PmScSb4
_symmetry_space_group_name_H-M 'P 1 2/m 1'
_symmetry_Int_Tables_number 10
_cell_length_a 7.748
_cell_length_b 4.494
_cell_length_c 7.769
_cell_angle_alpha 90.00
_cell_angle_beta 109.58
_cell_angle_gamma 90.00
loop_
_symmetry_equiv_pos_as_xyz
'x,y,z'
'-x,-y,-z'
'-x,y,-z'
'x,-y,z'
loop_
_atom_site_label
_atom_site_fract_x
_atom_site_fract_y
_atom_site_fract_z
_atom_site_occupancy
La1 0.000 0.000 0.000 1
La2 0.000 0.500 0.500 1
Pm1 0.500 0.000 0.500 1
Sc1 0.500 0.500 0.000 1
Sb1 0.264 0.500 0.245 1
Sb2 0.271 0.000 0.766 1
# Uncorrected formation energy   -1140 meV per atom
# VASP energy   -5.82 eV/atom
# Density of states at the Fermi level   1.01 states/eV/f.u.